1.
Crystalline TmCoPdPb at its relaxed geometry, computed with PBE-GGA.

- E_form: -0.31 eV per atom
- SG: F-43m, No. 216
- Density of states at the Fermi level: 2.78 states/eV/f.u.

Lattice parameters (Å, degrees): 4.733 4.733 4.733 60.00 60.00 60.00
Element x y z (fractional)
Pb (0.750, 0.750, 0.750)
Tm (0.250, 0.250, 0.250)
Co (0.000, 0.000, 0.000)
Pd (0.500, 0.500, 0.500)

---

2.
Crystalline CrCu2NiBr at its relaxed geometry, computed with PBE-GGA.

- Uncorrected formation energy: 1158 meV/atom
- SG: P4/mmm, No. 123
- Density of states at the Fermi level: 3.87 states/eV/f.u.

Lattice parameters (Å, degrees): 4.662 4.393 4.662 90.00 90.00 90.00
Element x y z (fractional)
Ni (0.000, 0.500, 0.000)
Cu (0.000, 0.000, 0.500)
Cu (0.500, 0.000, 0.000)
Br (0.000, 0.000, 0.000)
Cr (0.500, 0.500, 0.500)

---

3.
Crystalline CaEr2TmBi4 at its relaxed geometry, computed with PBE-GGA.

- E_form: -0.77 eV per atom
- SG: P2/m, No. 10
- Density of states at the Fermi level: 2.88 states/eV/f.u.

Lattice parameters (Å, degrees): 4.448 7.790 7.784 109.07 90.00 90.00
Element x y z (fractional)
Ca (0.500, 0.500, 0.000)
Er (0.500, 0.000, 0.500)
Er (0.000, 0.500, 0.500)
Tm (0.000, 0.000, 0.000)
Bi (0.500, 0.246, 0.252)
Bi (0.500, 0.754, 0.748)
Bi (0.000, 0.243, 0.744)
Bi (0.000, 0.757, 0.256)

---

4.
Crystalline TaFeS3 at its relaxed geometry, computed with PBE-GGA.

- Uncorrected formation energy: 490 meV/atom
- Offset from the most stable computed form: 343 meV per atom
- SG: Pm-3m, No. 221
- Density of states at the Fermi level: 4.70 states/eV/f.u.

Lattice parameters (Å, degrees): 4.337 4.337 4.337 90.00 90.00 90.00
Element x y z (fractional)
S (0.000, 0.500, 0.000)
S (0.000, 0.000, 0.500)
S (0.500, 0.000, 0.000)
Fe (0.000, 0.000, 0.000)
Ta (0.500, 0.500, 0.500)

---

5.
Crystalline NdYTmMg at its relaxed geometry, computed with PBE-GGA.

- Offset from the most stable computed form: 51 meV per atom
- E_form: 0.02 eV per atom
- SG: F-43m, No. 216
- Density of states at the Fermi level: 4.86 states/eV/f.u.

Lattice parameters (Å, degrees): 5.543 5.543 5.543 60.00 60.00 60.00
Element x y z (fractional)
Y (0.250, 0.250, 0.250)
Mg (0.000, 0.000, 0.000)
Tm (0.500, 0.500, 0.500)
Nd (0.750, 0.750, 0.750)

---

6.
Crystalline SmNi5 at its relaxed geometry, computed with PBE-GGA.

- E_form: -0.30 eV per atom
- SG: P6/mmm, No. 191
- Density of states at the Fermi level: 6.97 states/eV/f.u.

Lattice parameters (Å, degrees): 4.933 4.933 3.960 90.00 90.00 120.00
Element x y z (fractional)
Sm (0.000, 0.000, 0.000)
Ni (0.333, 0.667, 0.000)
Ni (0.667, 0.333, 0.000)
Ni (0.500, 0.000, 0.500)
Ni (0.500, 0.500, 0.500)
Ni (0.000, 0.500, 0.500)